Compound: PaTaAs2
Source: Alexandria via LeMat-Bulk
Functional: GGA-PBE
Structure: optimized geometry

Computed properties:
SG   R-3m (166)
N(E_F)   6.82 states/eV/f.u.
Spin magnetization   0.0 μB/cell
E_form   0.1279 eV/atom

```
data_PaTaAs2
_chemical_formula_sum 'Pa1 Ta1 As2'
_cell_length_a 3.036
_cell_length_b 3.036
_cell_length_c 10.456
_cell_angle_alpha 81.65
_cell_angle_beta 81.65
_cell_angle_gamma 60.00
_space_group_name_H-M_alt 'P 1'
_space_group_IT_number 1
loop_
_space_group_symop_operation_xyz
'x,y,z'
loop_
_atom_site_label
_atom_site_type_symbol
_atom_site_fract_x
_atom_site_fract_y
_atom_site_fract_z
As1 As 0.086 0.086 0.742
As2 As 0.914 0.914 0.258
Pa1 Pa 0.500 0.500 0.500
Ta1 Ta 0.000 0.000 0.000
```